VASP calculation (PBE-GGA) on a relaxed structure of Ca2La3Nd2.

- Formation enthalpy at 0 K: 49.9 meV/atom
- Electronic total energy: -3.996 eV/atom
- V: 529.86 Å³/cell

Geometry as CIF:
```
data_Ca2La3Nd2
_space_group_name_H-M_alt 'C 1 2/m 1'
_space_group_IT_number 12
_space_group_name_Hall '-C 2y'
_cell_length_a 11.832
_cell_length_b 5.305
_cell_length_c 8.533
_cell_angle_alpha 90.00
_cell_angle_beta 98.39
_cell_angle_gamma 90.00
loop_
_atom_site_label
_atom_site_type_symbol
_atom_site_fract_x
_atom_site_fract_y
_atom_site_fract_z
_atom_site_occupancy
Ca1 Ca 0.143 0.000 0.429 1
La1 La 0.000 0.000 0.000 1
La2 La 0.072 0.500 0.735 1
Nd1 Nd 0.216 0.500 0.131 1
```

=====

VASP calculation (PBE-GGA) on a relaxed structure of Ca2La2Nd15.

- Formation enthalpy at 0 K: 226.3 meV/atom
- Electronic total energy: -4.267 eV/atom
- V: 2143.35 Å³/cell

Geometry as CIF:
```
data_Ca2La2Nd15
_space_group_name_H-M_alt 'R -3 m'
_space_group_IT_number 166
_space_group_name_Hall '-R 3 2"'
_cell_length_a 11.7936
_cell_length_b 11.7936
_cell_length_c 17.7940
_cell_angle_alpha 90.00
_cell_angle_beta 90.00
_cell_angle_gamma 120.00
loop_
_atom_site_label
_atom_site_type_symbol
_atom_site_fract_x
_atom_site_fract_y
_atom_site_fract_z
_atom_site_occupancy
Ca1 Ca 0.0000 0.0000 0.1666 1
La1 La 0.0000 0.0000 0.4108 1
Nd1 Nd 0.0000 0.3007 0.5000 1
Nd2 Nd 0.0000 0.5000 0.0000 1
Nd3 Nd 0.0077 0.5039 0.6419 1
```

=====

VASP calculation (PBE-GGA) on a relaxed structure of CaLaNd2.

- Excess energy over the best structure of this formula in the dataset: 104 meV per atom
- Formation enthalpy at 0 K: 138.9 meV/atom
- Electronic total energy: -3.977 eV/atom
- V: 593.93 Å³/cell

Geometry as CIF:
```
data_CaLaNd2
_space_group_name_H-M_alt 'F m -3 m'
_space_group_IT_number 225
_space_group_name_Hall '-F 4 2 3'
_cell_length_a 8.406
_cell_length_b 8.406
_cell_length_c 8.406
_cell_angle_alpha 90.00
_cell_angle_beta 90.00
_cell_angle_gamma 90.00
loop_
_atom_site_label
_atom_site_type_symbol
_atom_site_fract_x
_atom_site_fract_y
_atom_site_fract_z
_atom_site_occupancy
Ca1 Ca 0.000 0.000 0.000 1
La1 La 0.000 0.000 0.500 1
Nd1 Nd 0.250 0.250 0.250 1
```

=====

VASP calculation (PBE-GGA) on a relaxed structure of CaLa3Nd.

- Excess energy over the best structure of this formula in the dataset: 0 meV per atom
- Formation enthalpy at 0 K: 70.1 meV/atom
- Electronic total energy: -4.240 eV/atom
- V: 743.87 Å³/cell

Geometry as CIF:
```
data_CaLa3Nd
_space_group_name_H-M_alt 'C 1 2/m 1'
_space_group_IT_number 12
_space_group_name_Hall '-C 2y'
_cell_length_a 18.811
_cell_length_b 5.776
_cell_length_c 7.412
_cell_angle_alpha 90.00
_cell_angle_beta 112.53
_cell_angle_gamma 90.00
loop_
_atom_site_label
_atom_site_type_symbol
_atom_site_fract_x
_atom_site_fract_y
_atom_site_fract_z
_atom_site_occupancy
Ca1 Ca 0.107 0.000 0.107 1
La1 La 0.003 0.500 0.267 1
La2 La 0.104 0.000 0.608 1
La3 La 0.205 0.500 0.450 1
Nd1 Nd 0.200 0.500 0.948 1
```

=====

VASP calculation (PBE-GGA) on a relaxed structure of Ca2LaNd6.

- Formation enthalpy at 0 K: 175.4 meV/atom
- Electronic total energy: -3.995 eV/atom
- V: 666.93 Å³/cell

Geometry as CIF:
```
data_Ca2LaNd6
_space_group_name_H-M_alt 'I m m m'
_space_group_IT_number 71
_space_group_name_Hall '-I 2 2'
_cell_length_a 3.473
_cell_length_b 10.929
_cell_length_c 17.568
_cell_angle_alpha 90.00
_cell_angle_beta 90.00
_cell_angle_gamma 90.00
loop_
_atom_site_label
_atom_site_type_symbol
_atom_site_fract_x
_atom_site_fract_y
_atom_site_fract_z
_atom_site_occupancy
Ca1 Ca 0.000 0.000 0.162 1
La1 La 0.000 0.000 0.500 1
Nd1 Nd 0.000 0.184 0.334 1
Nd2 Nd 0.000 0.201 0.000 1
```

=====

VASP calculation (PBE-GGA) on a relaxed structure of CaLa2Nd.

- Excess energy over the best structure of this formula in the dataset: 81 meV per atom
- Formation enthalpy at 0 K: 112.8 meV/atom
- Electronic total energy: -4.043 eV/atom
- V: 458.75 Å³/cell

Geometry as CIF:
```
data_CaLa2Nd
_space_group_name_H-M_alt 'R -3 m'
_space_group_IT_number 166
_space_group_name_Hall '-R 3 2"'
_cell_length_a 3.6654
_cell_length_b 3.6654
_cell_length_c 39.4285
_cell_angle_alpha 90.00
_cell_angle_beta 90.00
_cell_angle_gamma 120.00
loop_
_atom_site_label
_atom_site_type_symbol
_atom_site_fract_x
_atom_site_fract_y
_atom_site_fract_z
_atom_site_occupancy
Ca1 Ca 0.0000 0.0000 0.0000 1
La1 La 0.0000 0.0000 0.0906 1
Nd1 Nd 0.0000 0.0000 0.5000 1
```

=====

Number 1 is which compound? Ca2La3Nd2

=====

Which formula does entry 3 have? CaLaNd2

=====

Please write out number 3 again, unchanged.
VASP calculation (PBE-GGA) on a relaxed structure of CaLaNd2.

- Excess energy over the best structure of this formula in the dataset: 104 meV per atom
- Formation enthalpy at 0 K: 138.9 meV/atom
- Electronic total energy: -3.977 eV/atom
- V: 593.93 Å³/cell

Geometry as CIF:
```
data_CaLaNd2
_space_group_name_H-M_alt 'F m -3 m'
_space_group_IT_number 225
_space_group_name_Hall '-F 4 2 3'
_cell_length_a 8.406
_cell_length_b 8.406
_cell_length_c 8.406
_cell_angle_alpha 90.00
_cell_angle_beta 90.00
_cell_angle_gamma 90.00
loop_
_atom_site_label
_atom_site_type_symbol
_atom_site_fract_x
_atom_site_fract_y
_atom_site_fract_z
_atom_site_occupancy
Ca1 Ca 0.000 0.000 0.000 1
La1 La 0.000 0.000 0.500 1
Nd1 Nd 0.250 0.250 0.250 1
```